Material: NaCe4Pb5
Method: DFT, PBE
State: relaxed

a b c (Å): 4.195 4.195 16.996
angles (deg): 90.00 90.00 90.00
Fractional positions:
Na  0.000  0.000  0.000
Ce  0.000  0.000  0.213
Ce  0.000  0.000  0.402
Ce  0.000  0.000  0.598
Ce  0.000  0.000  0.787
Pb  0.500  0.500  0.107
Pb  0.500  0.500  0.304
Pb  0.500  0.500  0.500
Pb  0.500  0.500  0.696
Pb  0.500  0.500  0.893

Summary:
The value obtained for the total energy is -4.674 eV/atom. The calculation puts the total moment at 4.2 μB per cell.